A plane-wave DFT calculation with GGA-PBE was carried out for a relaxed CaPr2Ni9 crystal.

Computed properties:
E_form: -22.45 kJ/mol of atoms
volume: 15.144 A^3/atom
magnetic moment: 1.73 μB/f.u.

Lattice parameters (Å, degrees): 5.0495 5.0495 24.6894 90.00 90.00 120.00
Space group R-3m (No. 166, hexagonal axes)
Inequivalent atoms, fractional coordinates:
Ca 0.0000 0.0000 0.0000
Pr 0.0000 0.0000 0.1371
Ni 0.0000 0.0000 0.3325
Ni 0.0000 0.0000 0.5000
Ni 0.0010 0.5005 0.0798